CoNiH2F | PBE+U | optimized geometry

Computed properties:
Space group: P4/mmm (123)
Energy, eV per atom: -3.2033

Cell and atoms, written as POSCAR:
```
CoNiH2F
1.0
3.071 0.000 0.000
0.000 3.071 0.000
0.000 0.000 5.085
Co Ni H F
1 1 2 1
direct
0.000 0.000 0.000
0.500 0.500 0.500
0.000 0.500 0.500
0.500 0.000 0.500
0.500 0.500 0.000
```